MgCd4: relaxed, PBEsol.

Lattice parameters (Å, degrees): 6.9116 6.9116 4.3675 90.00 90.00 90.00
Space group I4/m (No. 87)
Inequivalent atoms, fractional coordinates:
1 Mg 0.0000 0.0000 0.0000 x2
2 Cd 0.0996 0.7013 0.5000 x8

## Properties
Calculated formation energy ... -51 meV per atom
Fermi-level density of states ... 1.9 states/eV/f.u.


Cs2Ni3S4: relaxed, PBEsol.

Lattice parameters (Å, degrees): 5.7791 5.7791 14.9235 90.00 90.00 120.00
Space group P6_3/mmc (No. 194)
Inequivalent atoms, fractional coordinates:
1 Cs 0.3333 0.6667 0.0914 x4
2 Ni 0.1665 0.3330 0.7500 x6
3 S 0.0000 0.0000 0.1558 x4
4 S 0.3333 0.6667 0.6554 x4

## Properties
Electronic total energy ... -89.98 eV/cell


CoTc2B2: relaxed, PBEsol.

Lattice parameters (Å, degrees): 5.3602 5.3602 3.3410 90.00 90.00 90.00
Space group P4/mbm (No. 127)
Inequivalent atoms, fractional coordinates:
1 Co 0.0000 0.0000 0.0000 x2
2 Tc 0.1782 0.3218 0.5000 x4
3 B 0.1194 0.6194 0.0000 x4

## Properties
Calculated formation energy ... -419 meV per atom
Fermi-level density of states ... 3.3 states/eV/f.u.


PrSmTl2: relaxed, PBEsol.

Lattice parameters (Å, degrees): 7.6509 7.6509 7.6509 90.00 90.00 90.00
Space group Fm-3m (No. 225)
Inequivalent atoms, fractional coordinates:
1 Pr 0.0000 0.0000 0.0000 x4
2 Sm 0.0000 0.0000 0.5000 x4
3 Tl 0.2500 0.2500 0.2500 x8

## Properties
Calculated formation energy ... -452 meV per atom
Fermi-level density of states ... 3.4 states/eV/f.u.


PHPbS2: relaxed, PBEsol.

Lattice parameters (Å, degrees): 5.1859 5.1859 5.3077 90.00 90.00 90.00
Space group P4/mmm (No. 123)
Inequivalent atoms, fractional coordinates:
1 P 0.0000 0.0000 0.0000 x1
2 H 0.5000 0.5000 0.0000 x1
3 Pb 0.0000 0.0000 0.5000 x1
4 S 0.0000 0.5000 0.5000 x2

## Properties
Electronic total energy ... -14.68 eV/cell
Fermi-level density of states ... 4.8 states/eV/f.u.


CsBa2Ni: relaxed, PBEsol.

Lattice parameters (Å, degrees): 8.3300 8.3300 8.3300 90.00 90.00 90.00
Space group Fm-3m (No. 225)
Inequivalent atoms, fractional coordinates:
1 Cs 0.0000 0.0000 0.0000 x4
2 Ba 0.2500 0.2500 0.2500 x8
3 Ni 0.0000 0.0000 0.5000 x4

## Properties
Calculated formation energy ... 517 meV per atom
Fermi-level density of states ... 5.4 states/eV/f.u.


KAu2: relaxed, PBEsol.

Lattice parameters (Å, degrees): 4.5985 4.5985 4.4218 90.00 90.00 120.00
Space group P6/mmm (No. 191)
Inequivalent atoms, fractional coordinates:
1 K 0.0000 0.0000 0.0000 x1
2 Au 0.3333 0.6667 0.5000 x2

## Properties
Calculated formation energy ... -98 meV per atom
Fermi-level density of states ... 0.7 states/eV/f.u.


RbNaP2S: relaxed, PBEsol.

Lattice parameters (Å, degrees): 4.9824 4.9824 5.0970 90.00 90.00 90.00
Space group P4/mmm (No. 123)
Inequivalent atoms, fractional coordinates:
1 Rb 0.0000 0.0000 0.0000 x1
2 Na 0.5000 0.5000 0.5000 x1
3 P 0.0000 0.5000 0.5000 x2
4 S 0.5000 0.5000 0.0000 x1

## Properties
Electronic total energy ... -14.88 eV/cell
Fermi-level density of states ... 4.0 states/eV/f.u.


For reference, magnetization by record: 0.00, 0.00, 0.00, 0.00, 0.48, 0.00, 0.00, 0.00 μB per atom.